This record from OQMD via LeMat-Bulk describes a geometry-optimized ScCdCuAs structure. The functional is PBE.

polymorph energy (0 for the lowest one): 0.137 eV/atom
space-group type: No. 216

a = 4.753 Å, b = 4.753 Å, c = 4.753 Å
α = 60.00°, β = 60.00°, γ = 60.00°
Positions (direct):
As 0.000 0.000 0.000
Cd 0.250 0.250 0.250
Cu 0.750 0.750 0.750
Sc 0.500 0.500 0.500